(1)
Density functional theory data (GGA-PBE) for a relaxed structure of TaAg.

For the energy relative to the elements, the calculation gives 623 meV per atom. Its final energy is -6.729 eV per atom.

It has space group Fd-3m (No. 227, origin choice 2), with a = 6.633 Å, b = 6.633 Å, c = 6.633 Å, α = 90.00°, β = 90.00° and γ = 90.00°. The inequivalent atoms are Ta at (0.125, 0.125, 0.125) and Ag at (0.125, 0.125, 0.625).

(2)
Density functional theory data (GGA-PBE) for a relaxed structure of TaAg2.

For the energy relative to the elements, the calculation gives 603 meV per atom. Its final energy is -5.249 eV per atom.

It has space group Imma (No. 74), with a = 2.737 Å, b = 4.510 Å, c = 18.752 Å, α = 90.00°, β = 90.00° and γ = 90.00°. The inequivalent atoms are Ta at (0.000, 0.250, 0.114), Ag at (0.000, 0.250, 0.538) and Ag at (0.000, 0.250, 0.685).

> energy relative to the elements of number 1 (TaAg)?

623 meV per atom

> final energy of number 2 (TaAg2)?

-5.249 eV per atom

> Which of these has the highest energy relative to the elements?

TaAg